HfPa2Tc | Alexandria via LeMat-Bulk | PBE-GGA | optimized geometry; ΔE to the lowest computed polymorph = 0.00 eV/f.u.; M_tot = 0.000 μB per formula unit; raw total energy = -9.74 eV per atom; E_form = 2.044 kcal/mol of atoms
1.0
3.502 0.000 0.000
0.000 3.502 0.000
0.000 0.000 7.381
Hf Pa Tc
1 2 1
direct
0.000 0.000 0.000 Hf
0.500 0.500 0.289 Pa
0.500 0.500 0.711 Pa
0.000 0.000 0.500 Tc